# 1
{"formula": "DyEr2Ge2Pt7", "functional": "PBE", "state": "optimized geometry", "cell": [[2.8723, -2.8433, 0.0000], [2.8723, 2.8433, 0.0000], [-2.3706, 0.0000, 13.8602]], "species": ["Dy", "Er", "Er", "Ge", "Ge", "Pt", "Pt", "Pt", "Pt", "Pt", "Pt", "Pt"], "frac_coords": [[0.0000, 0.0000, 0.0000], [0.1319, 0.1319, 0.3588], [0.8681, 0.8681, 0.6412], [0.3918, 0.3918, 0.7395], [0.6082, 0.6082, 0.2605], [0.0655, 0.5654, 0.1566], [0.3550, 0.3550, 0.5657], [0.4346, 0.9345, 0.8434], [0.5000, 0.5000, 0.0000], [0.5654, 0.0655, 0.1566], [0.6450, 0.6450, 0.4343], [0.9345, 0.4346, 0.8434]], "spacegroup": "C2/m (12)", "formation_energy_ev_per_atom": -0.985, "dos_at_fermi_per_ev_cell": 4.4}

---

# 2
{"formula": "DyErGeRh", "functional": "PBE", "state": "optimized geometry", "cell": [[0.0000, 3.4841, 3.4841], [3.4841, 0.0000, 3.4841], [3.4841, 3.4841, 0.0000]], "species": ["Dy", "Er", "Ge", "Rh"], "frac_coords": [[0.0000, 0.0000, 0.0000], [0.5000, 0.5000, 0.5000], [0.2500, 0.2500, 0.2500], [0.7500, 0.7500, 0.7500]], "relative_energy_mev_per_atom": 128.3, "spacegroup": "F-43m (216)", "formation_energy_ev_per_atom": -0.748, "dos_at_fermi_per_ev_cell": 2.1}

---

# 3
{"formula": "DyErGeRh", "functional": "PBE", "state": "optimized geometry", "cell": [[4.1253, 0.0000, 0.0000], [0.0000, 2.0086, 5.2958], [0.0000, -2.0086, 5.2958]], "species": ["Dy", "Er", "Ge", "Rh"], "frac_coords": [[0.0000, 0.0000, 0.0000], [0.5000, 0.2801, 0.2801], [0.0000, 0.7156, 0.7156], [0.5000, 0.5584, 0.5584]], "relative_energy_mev_per_atom": 0.0, "spacegroup": "Amm2 (38)", "formation_energy_ev_per_atom": -0.876, "dos_at_fermi_per_ev_cell": 2.8}

---

# 4
{"formula": "DyErGeSe", "functional": "PBE", "state": "optimized geometry", "cell": [[2.0549, 1.1864, 6.7575], [-2.0549, 1.1864, 6.7575], [0.0000, -2.3728, 6.7575]], "species": ["Dy", "Er", "Ge", "Se"], "frac_coords": [[0.0000, 0.0000, 0.0000], [0.5089, 0.5089, 0.5089], [0.2538, 0.2538, 0.2538], [0.7553, 0.7553, 0.7553]], "spacegroup": "R3m (160)", "raw_formation_energy_ev_per_atom": -1.375, "dos_at_fermi_per_ev_cell": 1.0}

---

# 5
{"formula": "DyErSiGe", "functional": "PBE", "state": "optimized geometry", "cell": [[3.8875, 0.0000, 0.0000], [0.0000, 2.1302, 5.2886], [0.0000, -2.1302, 5.2886]], "species": ["Dy", "Er", "Si", "Ge"], "frac_coords": [[0.0000, 0.0000, 0.0000], [0.5000, 0.2786, 0.2786], [0.5000, 0.5568, 0.5568], [0.0000, 0.7198, 0.7198]], "spacegroup": "Amm2 (38)", "raw_formation_energy_ev_per_atom": -0.835, "dos_at_fermi_per_ev_cell": 2.6}

---

# 6
{"formula": "DyEr2Zn2Ge2", "functional": "PBE", "state": "optimized geometry", "cell": [[2.0567, 1.1874, 10.9717], [-2.0567, 1.1874, 10.9717], [0.0000, -2.3748, 10.9717]], "species": ["Dy", "Er", "Er", "Zn", "Zn", "Ge", "Ge"], "frac_coords": [[0.0000, 0.0000, 0.0000], [0.1242, 0.1242, 0.1242], [0.8758, 0.8758, 0.8758], [0.3893, 0.3893, 0.3893], [0.6107, 0.6107, 0.6107], [0.2633, 0.2633, 0.2633], [0.7367, 0.7367, 0.7367]], "spacegroup": "R-3m (166)", "formation_energy_ev_per_atom": -0.432, "dos_at_fermi_per_ev_cell": 5.3}

---

# 7
{"formula": "Dy2ErZn2Ge2", "functional": "PBE", "state": "optimized geometry", "cell": [[2.0620, 1.1905, 11.0541], [-2.0620, 1.1905, 11.0541], [0.0000, -2.3810, 11.0541]], "species": ["Dy", "Dy", "Er", "Zn", "Zn", "Ge", "Ge"], "frac_coords": [[0.1220, 0.1220, 0.1220], [0.8780, 0.8780, 0.8780], [0.0000, 0.0000, 0.0000], [0.3988, 0.3988, 0.3988], [0.6012, 0.6012, 0.6012], [0.2759, 0.2759, 0.2759], [0.7241, 0.7241, 0.7241]], "spacegroup": "R-3m (166)", "formation_energy_ev_per_atom": -0.431, "dos_at_fermi_per_ev_cell": 6.9}

---

# 8
{"formula": "DyEr2H8", "functional": "PBE", "state": "optimized geometry", "cell": [[-1.7989, 2.5501, 5.4000], [1.7989, -2.5501, 5.4000], [1.7989, 2.5501, -5.4000]], "species": ["Dy", "Er", "Er", "H", "H", "H", "H", "H", "H", "H", "H"], "frac_coords": [[0.0000, 0.0000, 0.0000], [0.3316, 0.3316, 0.0000], [0.6684, 0.6684, 0.0000], [0.0988, 0.8374, 0.2615], [0.1571, 0.6571, 0.5000], [0.2736, 0.5000, 0.7736], [0.4241, 0.1626, 0.2615], [0.5759, 0.8374, 0.7385], [0.7264, 0.5000, 0.2264], [0.8429, 0.3429, 0.5000], [0.9012, 0.1626, 0.7385]], "spacegroup": "Immm (71)", "final_energy_ev_per_fu": -47.44, "dos_at_fermi_per_ev_cell": 1.0}

---

# 9
{"formula": "Dy3ErH8", "functional": "PBE", "state": "optimized geometry", "cell": [[5.1599, 0.0000, 0.0000], [0.0000, 5.1599, 0.0000], [0.0000, 0.0000, 5.1599]], "species": ["Dy", "Dy", "Dy", "Er", "H", "H", "H", "H", "H", "H", "H", "H"], "frac_coords": [[0.0000, 0.0000, 0.5000], [0.0000, 0.5000, 0.0000], [0.5000, 0.0000, 0.0000], [0.5000, 0.5000, 0.5000], [0.2519, 0.2519, 0.2519], [0.2519, 0.2519, 0.7481], [0.2519, 0.7481, 0.2519], [0.2519, 0.7481, 0.7481], [0.7481, 0.2519, 0.2519], [0.7481, 0.2519, 0.7481], [0.7481, 0.7481, 0.2519], [0.7481, 0.7481, 0.7481]], "spacegroup": "Pm-3m (221)", "final_energy_ev_per_fu": -53.83, "dos_at_fermi_per_ev_cell": 2.5}

---

# 10
{"formula": "Dy2ErH", "functional": "PBE", "state": "optimized geometry", "cell": [[1.7920, 1.0346, 8.4187], [-1.7920, 1.0346, 8.4187], [0.0000, -2.0692, 8.4187]], "species": ["Dy", "Dy", "Er", "H"], "frac_coords": [[0.2211, 0.2211, 0.2211], [0.7789, 0.7789, 0.7789], [0.0000, 0.0000, 0.0000], [0.5000, 0.5000, 0.5000]], "relative_energy_mev_per_atom": 0.0, "spacegroup": "R-3m (166)", "dos_at_fermi_per_ev_cell": 2.9}

---

# 11
{"formula": "Dy2ErH", "functional": "PBE", "state": "optimized geometry", "cell": [[3.3371, 0.0000, 0.0000], [0.0000, 3.3371, 0.0000], [0.0000, 0.0000, 8.3982]], "species": ["Dy", "Dy", "Er", "H"], "frac_coords": [[0.0000, 0.0000, 0.1929], [0.0000, 0.0000, 0.8071], [0.5000, 0.5000, 0.5000], [0.5000, 0.5000, 0.0000]], "relative_energy_mev_per_atom": 293.8, "spacegroup": "P4/mmm (123)", "dos_at_fermi_per_ev_cell": 4.0}

---

Q: Number 2 is which compound?
A: DyErGeRh